No. 1
! Ag2TeRuO (PBE, relaxed); values from VASP
&SYSTEM
  ibrav = 0, nat = 5, ntyp = 4
/
ATOMIC_SPECIES
Ru 101.07 Ru.upf
Te 127.60 Te.upf
O 16.00 O.upf
Ag 107.87 Ag.upf
CELL_PARAMETERS angstrom
5.257 0.000 0.000
0.000 5.078 0.000
0.000 0.000 5.257
ATOMIC_POSITIONS angstrom
Ru 0.000 2.539 0.000
Te 0.000 0.000 0.000
O 2.629 2.539 2.629
Ag 0.000 0.000 2.629
Ag 2.629 0.000 0.000
! **Formation energy (no corrections)**: 1.234 eV/atom

---

No. 2
! Ba2LiNiAg (PBE, relaxed); values from VASP
&SYSTEM
  ibrav = 0, nat = 5, ntyp = 4
/
ATOMIC_SPECIES
Ni 58.69 Ni.upf
Ba 137.33 Ba.upf
Ag 107.87 Ag.upf
Li 6.94 Li.upf
CELL_PARAMETERS angstrom
-2.144 -4.848 -2.748
4.816 -3.093 1.700
-2.344 -1.343 4.199
ATOMIC_POSITIONS angstrom
Ni 0.000 0.000 0.000
Ba 2.408 -1.546 0.850
Ba -1.072 -2.424 -1.374
Ag -1.172 -0.672 2.099
Li 0.164 -4.642 1.575
! **DFT formation energy**: 7.38 kJ per mole of atoms

---

No. 3
! Pr3Tl2Pd3 (PBE, relaxed); values from VASP
&SYSTEM
  ibrav = 0, nat = 8, ntyp = 3
/
ATOMIC_SPECIES
Pr 140.91 Pr.upf
Tl 204.38 Tl.upf
Pd 106.42 Pd.upf
CELL_PARAMETERS angstrom
-0.261 3.625 -0.799
-1.125 1.015 4.971
10.797 -1.142 -0.040
ATOMIC_POSITIONS angstrom
Pr 1.807 2.611 2.592
Pr 7.604 0.886 1.539
Pr -0.130 1.812 -0.400
Tl 4.505 2.353 0.539
Tl 4.907 1.145 3.593
Pd 2.325 0.271 0.471
Pd -0.562 0.508 2.485
Pd 7.087 3.227 3.661
! **DFT formation energy**: -51.17 kJ per mole of atoms

---

No. 4
! NpScSn2 (PBE, relaxed); values from VASP
&SYSTEM
  ibrav = 0, nat = 4, ntyp = 3
/
ATOMIC_SPECIES
Np 237.00 Np.upf
Sc 44.96 Sc.upf
Sn 118.71 Sn.upf
CELL_PARAMETERS angstrom
-3.169 -1.742 1.205
1.557 -0.444 3.451
-2.544 5.952 1.913
ATOMIC_POSITIONS angstrom
Np -2.078 1.883 3.285
Sc -0.806 -1.093 2.328
Sn -1.967 4.601 1.479
Sn -0.578 1.351 0.434
! **DFT formation energy**: -21.32 kJ per mole of atoms

---

No. 5
! Pr6PPd2Br3 (PBE, relaxed); values from VASP
&SYSTEM
  ibrav = 0, nat = 12, ntyp = 4
/
ATOMIC_SPECIES
Pr 140.91 Pr.upf
P 30.97 P.upf
Pd 106.42 Pd.upf
Br 79.90 Br.upf
CELL_PARAMETERS angstrom
-6.408 3.492 1.060
3.872 -2.401 5.799
4.428 6.125 -1.988
ATOMIC_POSITIONS angstrom
Pr -0.146 6.641 2.876
Pr -0.944 2.083 4.639
Pr 2.038 0.575 1.994
Pr 3.264 4.687 4.448
Pr 2.837 5.133 0.231
Pr -1.372 2.530 0.423
P 0.000 0.000 0.000
Pd 0.454 -0.442 4.223
Pd -2.990 1.533 2.635
Br 4.427 1.613 4.040
Br -2.535 5.604 0.830
Br 0.946 3.608 2.435
! **Formation energy (no corrections)**: -1.112 eV/atom

---

No. 6
! TiSbF2 (PBE, relaxed); values from VASP
&SYSTEM
  ibrav = 0, nat = 8, ntyp = 3
/
ATOMIC_SPECIES
Sb 121.76 Sb.upf
F 19.00 F.upf
Ti 47.87 Ti.upf
CELL_PARAMETERS angstrom
-1.901 3.399 2.232
-3.170 -2.782 1.536
1.233 -1.061 7.179
ATOMIC_POSITIONS angstrom
Sb 0.000 0.000 0.000
Sb -1.602 1.323 5.648
F -0.929 0.890 2.974
F -2.258 -0.958 3.442
F -1.556 -1.073 7.078
F -2.933 0.253 8.401
Ti -2.536 0.308 1.884
Ti -2.236 -1.767 5.300
! **Formation energy (no corrections)**: -1.573 eV/atom

---

No. 7
! Mn2AlTcC (PBE, relaxed); values from VASP
&SYSTEM
  ibrav = 0, nat = 5, ntyp = 4
/
ATOMIC_SPECIES
C 12.01 C.upf
Mn 54.94 Mn.upf
Tc 98.00 Tc.upf
Al 26.98 Al.upf
CELL_PARAMETERS angstrom
3.824 0.000 0.000
0.000 3.824 0.000
0.000 0.000 4.088
ATOMIC_POSITIONS angstrom
C 0.000 0.000 0.000
Mn 0.000 1.912 0.000
Mn 1.912 0.000 0.000
Tc 0.000 0.000 2.044
Al 1.912 1.912 2.044
! **DFT formation energy**: -15.22 kJ per mole of atoms

---

No. 8
! MgInAu2 (PBE, relaxed); values from VASP
&SYSTEM
  ibrav = 0, nat = 4, ntyp = 3
/
ATOMIC_SPECIES
Mg 24.30 Mg.upf
Au 196.97 Au.upf
In 114.82 In.upf
CELL_PARAMETERS angstrom
3.534 0.000 0.000
0.000 3.354 0.115
0.000 3.308 6.692
ATOMIC_POSITIONS angstrom
Mg 1.767 4.997 5.105
Au 0.000 3.264 6.538
Au 0.000 3.375 3.558
In 1.767 1.666 1.702
! **DFT formation energy**: -37.33 kJ per mole of atoms

---

Number 1: calculated total energy -16.91 eV per cell, total magnetization 4.00 μB/f.u.. Number 2: calculated total energy -14.01 eV per cell, total magnetization 0.00 μB/f.u.. Number 3: calculated total energy -38.89 eV per cell, total magnetization 0.00 μB/f.u.. Number 4: calculated total energy -28.16 eV per cell, total magnetization 4.85 μB/f.u.. Number 5: calculated total energy -62.84 eV per cell, total magnetization 0.00 μB/f.u.. Number 6: calculated total energy -44.11 eV per cell, total magnetization 0.00 μB/f.u.. Number 7: calculated total energy -42.46 eV per cell, total magnetization 3.46 μB/f.u.. Number 8: calculated total energy -12.44 eV per cell, total magnetization 0.00 μB/f.u..